Material: Ca2ReRh
Method: DFT, PBE-GGA
State: relaxed

Lattice parameters (Å, degrees): 6.779 5.421 2.890 89.93 64.88 120.81
Element x y z (fractional)
Re 0.000 0.500 0.500
Ca 0.500 0.000 0.500
Ca 0.000 0.000 0.000
Rh 0.500 0.500 0.000

energy relative to the elements = 0.50 eV/atom
total magnetic moment = 0.0 μB per cell
crystal system = orthorhombic
SG = Cmmm, No. 65